Record 1
First-principles (GGA-PBE) data for a relaxed structure of Mg2CdF, as listed in Alexandria.

Properties
Formation energy from raw total energies   -648 meV per atom
Excess energy over the best structure of this formula in the dataset   1.562 eV per formula unit

```
data_Mg2CdF
_cell_length_a 6.8132
_cell_length_b 6.8132
_cell_length_c 6.8132
_cell_angle_alpha 90.00
_cell_angle_beta 90.00
_cell_angle_gamma 90.00
_space_group_name_H-M_alt 'F m -3 m'
_space_group_IT_number 225
_space_group_name_Hall '-F 4 2 3'
loop_
_atom_site_label
_atom_site_type_symbol
_atom_site_fract_x
_atom_site_fract_y
_atom_site_fract_z
Mg1 Mg 0.2500 0.2500 0.2500
Cd1 Cd 0.0000 0.0000 0.0000
F1 F 0.0000 0.0000 0.5000
```


Record 2
First-principles (GGA-PBE) data for a relaxed structure of Mg2CdF, as listed in Alexandria.

Properties
Formation energy from raw total energies   -1038 meV per atom
Excess energy over the best structure of this formula in the dataset   0.000 eV per formula unit

```
data_Mg2CdF
_cell_length_a 6.6305
_cell_length_b 6.6305
_cell_length_c 7.0805
_cell_angle_alpha 90.00
_cell_angle_beta 90.00
_cell_angle_gamma 90.00
_space_group_name_H-M_alt 'I -4 2 d'
_space_group_IT_number 122
_space_group_name_Hall 'I -4 2bw'
loop_
_atom_site_label
_atom_site_type_symbol
_atom_site_fract_x
_atom_site_fract_y
_atom_site_fract_z
Mg1 Mg 0.1561 0.2500 0.1250
Cd1 Cd 0.0000 0.0000 0.5000
F1 F 0.0000 0.0000 0.0000
```


Record 3
First-principles (GGA-PBE) data for a relaxed structure of MgCdF5, as listed in Alexandria.

Properties
Formation energy from raw total energies   -2359 meV per atom

```
data_MgCdF5
_cell_length_a 8.8738
_cell_length_b 6.5356
_cell_length_c 7.6012
_cell_angle_alpha 90.00
_cell_angle_beta 113.66
_cell_angle_gamma 90.00
_space_group_name_H-M_alt 'C 1 2/c 1'
_space_group_IT_number 15
_space_group_name_Hall '-C 2yc'
loop_
_atom_site_label
_atom_site_type_symbol
_atom_site_fract_x
_atom_site_fract_y
_atom_site_fract_z
Mg1 Mg 0.0000 0.0000 0.0000
Cd1 Cd 0.0000 0.4488 0.2500
F1 F 0.0000 0.0867 0.2500
F2 F 0.0260 0.3003 0.9662
F3 F 0.2380 0.0749 0.6316
```


Record 4
First-principles (GGA-PBE) data for a relaxed structure of Na2MgCdF6, as listed in Alexandria.

Properties
Formation energy from raw total energies   -2823 meV per atom

```
data_Na2MgCdF6
_cell_length_a 5.5888
_cell_length_b 5.8193
_cell_length_c 9.8135
_cell_angle_alpha 90.00
_cell_angle_beta 124.53
_cell_angle_gamma 90.00
_space_group_name_H-M_alt 'P 1 21/c 1'
_space_group_IT_number 14
_space_group_name_Hall '-P 2ybc'
loop_
_atom_site_label
_atom_site_type_symbol
_atom_site_fract_x
_atom_site_fract_y
_atom_site_fract_z
Na1 Na 0.2356 0.0569 0.2520
Mg1 Mg 0.0000 0.0000 0.5000
Cd1 Cd 0.5000 0.0000 0.0000
F1 F 0.1059 0.2117 0.9305
F2 F 0.2330 0.6818 0.9408
F3 F 0.3540 0.0556 0.7333
```


Record 5
First-principles (GGA-PBE) data for a relaxed structure of MgCdO2F, as listed in Alexandria.

Properties
Formation energy from raw total energies   -1539 meV per atom

```
data_MgCdO2F
_cell_length_a 3.9661
_cell_length_b 3.9661
_cell_length_c 3.8550
_cell_angle_alpha 90.00
_cell_angle_beta 90.00
_cell_angle_gamma 90.00
_space_group_name_H-M_alt 'P 4/m m m'
_space_group_IT_number 123
_space_group_name_Hall '-P 4 2'
loop_
_atom_site_label
_atom_site_type_symbol
_atom_site_fract_x
_atom_site_fract_y
_atom_site_fract_z
Mg1 Mg 0.0000 0.0000 0.0000
Cd1 Cd 0.5000 0.5000 0.5000
O1 O 0.0000 0.5000 0.0000
F1 F 0.0000 0.0000 0.5000
```


Record 6
First-principles (GGA-PBE) data for a relaxed structure of MgCdO2F, as listed in Alexandria.

Properties
Formation energy from raw total energies   -932 meV per atom

```
data_MgCdO2F
_cell_length_a 4.1643
_cell_length_b 4.1643
_cell_length_c 4.2549
_cell_angle_alpha 90.00
_cell_angle_beta 90.00
_cell_angle_gamma 90.00
_space_group_name_H-M_alt 'P 4/m m m'
_space_group_IT_number 123
_space_group_name_Hall '-P 4 2'
loop_
_atom_site_label
_atom_site_type_symbol
_atom_site_fract_x
_atom_site_fract_y
_atom_site_fract_z
Mg1 Mg 0.0000 0.0000 0.0000
Cd1 Cd 0.5000 0.5000 0.5000
O1 O 0.0000 0.5000 0.5000
F1 F 0.5000 0.5000 0.0000
```


Record 7
First-principles (GGA-PBE) data for a relaxed structure of MgCd2PbF8, as listed in Alexandria.

Properties
Formation energy from raw total energies   -2550 meV per atom

```
data_MgCd2PbF8
_cell_length_a 4.9631
_cell_length_b 7.1505
_cell_length_c 5.2843
_cell_angle_alpha 90.00
_cell_angle_beta 90.96
_cell_angle_gamma 90.00
_space_group_name_H-M_alt 'P 1 2/m 1'
_space_group_IT_number 10
_space_group_name_Hall '-P 2y'
loop_
_atom_site_label
_atom_site_type_symbol
_atom_site_fract_x
_atom_site_fract_y
_atom_site_fract_z
Mg1 Mg 0.0000 0.0000 0.0000
Cd1 Cd 0.5000 0.2326 0.5000
Pb1 Pb 0.0000 0.5000 0.0000
F1 F 0.1779 0.2104 0.1992
F2 F 0.2953 0.0000 0.7264
F3 F 0.3549 0.5000 0.7000
```


Record 8
First-principles (GGA-PBE) data for a relaxed structure of Rb2Mg3CdF12, as listed in Alexandria.

Properties
Formation energy from raw total energies   -2735 meV per atom

```
data_Rb2Mg3CdF12
_cell_length_a 7.4159
_cell_length_b 7.4159
_cell_length_c 18.6068
_cell_angle_alpha 90.00
_cell_angle_beta 90.00
_cell_angle_gamma 120.00
_space_group_name_H-M_alt 'R -3 m'
_space_group_IT_number 166
_space_group_name_Hall '-R 3 2"'
loop_
_atom_site_label
_atom_site_type_symbol
_atom_site_fract_x
_atom_site_fract_y
_atom_site_fract_z
Rb1 Rb 0.0000 0.0000 0.1152
Mg1 Mg 0.0000 0.5000 0.0000
Cd1 Cd 0.0000 0.0000 0.5000
F1 F 0.0432 0.5216 0.1080
F2 F 0.0742 0.5371 0.3504
```


Record 9
First-principles (GGA-PBE) data for a relaxed structure of RbMgCd2F8, as listed in Alexandria.

Properties
Formation energy from raw total energies   -2380 meV per atom

```
data_RbMgCd2F8
_cell_length_a 4.8961
_cell_length_b 5.1501
_cell_length_c 7.6019
_cell_angle_alpha 89.97
_cell_angle_beta 89.93
_cell_angle_gamma 88.16
_space_group_name_H-M_alt 'P -1'
_space_group_IT_number 2
_space_group_name_Hall '-P 1'
loop_
_atom_site_label
_atom_site_type_symbol
_atom_site_fract_x
_atom_site_fract_y
_atom_site_fract_z
Rb1 Rb 0.0000 0.0000 0.0000
Mg1 Mg 0.0000 0.0000 0.5000
Cd1 Cd 0.5000 0.5000 0.2780
F1 F 0.2227 0.8320 0.6935
F2 F 0.2237 0.8328 0.3063
F3 F 0.2603 0.3093 0.5002
F4 F 0.2692 0.4637 0.0002
```


Record 10
First-principles (GGA-PBE) data for a relaxed structure of Rb3Mg2CdF9, as listed in Alexandria.

Properties
Formation energy from raw total energies   -2993 meV per atom

```
data_Rb3Mg2CdF9
_cell_length_a 5.9807
_cell_length_b 5.9807
_cell_length_c 7.3649
_cell_angle_alpha 90.00
_cell_angle_beta 90.00
_cell_angle_gamma 120.00
_space_group_name_H-M_alt 'P -3 m 1'
_space_group_IT_number 164
_space_group_name_Hall '-P 3 2"'
loop_
_atom_site_label
_atom_site_type_symbol
_atom_site_fract_x
_atom_site_fract_y
_atom_site_fract_z
Rb1 Rb 0.0000 0.0000 0.0000
Rb2 Rb 0.3333 0.6667 0.6659
Mg1 Mg 0.3333 0.6667 0.1535
Cd1 Cd 0.0000 0.0000 0.5000
F1 F 0.0000 0.5000 0.0000
F2 F 0.1757 0.3515 0.3190
```


Record 11
First-principles (GGA-PBE) data for a relaxed structure of Rb3MgCd2F9, as listed in Alexandria.

Properties
Formation energy from raw total energies   -2727 meV per atom

```
data_Rb3MgCd2F9
_cell_length_a 6.1650
_cell_length_b 6.1650
_cell_length_c 7.5748
_cell_angle_alpha 90.00
_cell_angle_beta 90.00
_cell_angle_gamma 120.00
_space_group_name_H-M_alt 'P -3 m 1'
_space_group_IT_number 164
_space_group_name_Hall '-P 3 2"'
loop_
_atom_site_label
_atom_site_type_symbol
_atom_site_fract_x
_atom_site_fract_y
_atom_site_fract_z
Rb1 Rb 0.0000 0.0000 0.0000
Rb2 Rb 0.3333 0.6667 0.6698
Mg1 Mg 0.0000 0.0000 0.5000
Cd1 Cd 0.3333 0.6667 0.1819
F1 F 0.0000 0.5000 0.0000
F2 F 0.1565 0.3130 0.3465
```


Record 12
First-principles (GGA-PBE) data for a relaxed structure of MgCd2ReF, as listed in Alexandria.

Properties
Formation energy from raw total energies   699 meV per atom

```
data_MgCd2ReF
_cell_length_a 5.3555
_cell_length_b 5.3555
_cell_length_c 5.3336
_cell_angle_alpha 90.00
_cell_angle_beta 90.00
_cell_angle_gamma 90.00
_space_group_name_H-M_alt 'P 4/m m m'
_space_group_IT_number 123
_space_group_name_Hall '-P 4 2'
loop_
_atom_site_label
_atom_site_type_symbol
_atom_site_fract_x
_atom_site_fract_y
_atom_site_fract_z
Mg1 Mg 0.0000 0.0000 0.0000
Cd1 Cd 0.0000 0.5000 0.5000
Re1 Re 0.0000 0.0000 0.5000
F1 F 0.5000 0.5000 0.0000
```


- Number 3 is which compound?
  MgCdF5


- Which value of formation energy from raw total energies does entry 11 give?
  -2727 meV per atom


- formation energy from raw total energies of number 2 (Mg2CdF)?
  -1038 meV per atom